First-principles (PBE) data for a relaxed Fe3NiIr5 crystal, as listed in the Alexandria database.

abc: 5.901 5.901 7.127
angles: 90.00 90.00 90.00
Space group P4/mbm (No. 127)
Inequivalent atoms, fractional coordinates:
Fe (0.000, 0.000, 0.000) x2
Fe (0.115, 0.385, 0.500) x4
Ni (0.000, 0.500, 0.000) x2
Ir (0.000, 0.000, 0.500) x2
Ir (0.239, 0.739, 0.214) x8

ΔH_f (0 K), eV/atom: 0.43

First-principles (PBE) data for a relaxed Fe2NiIr5 crystal, as listed in the Alexandria database.

abc: 5.382 5.382 7.521
angles: 90.00 90.00 90.00
Space group I4/mmm (No. 139)
Inequivalent atoms, fractional coordinates:
Fe (0.000, 0.500, 0.000) x4
Ni (0.000, 0.000, 0.000) x2
Ir (0.000, 0.000, 0.500) x2
Ir (0.250, 0.250, 0.250) x8

ΔH_f (0 K), eV/atom: -0.02

Copy entry 2 word for word.
First-principles (PBE) data for a relaxed Fe2NiIr5 crystal, as listed in the Alexandria database.

abc: 5.382 5.382 7.521
angles: 90.00 90.00 90.00
Space group I4/mmm (No. 139)
Inequivalent atoms, fractional coordinates:
Fe (0.000, 0.500, 0.000) x4
Ni (0.000, 0.000, 0.000) x2
Ir (0.000, 0.000, 0.500) x2
Ir (0.250, 0.250, 0.250) x8

ΔH_f (0 K), eV/atom: -0.02

> Look up the ΔH_f (0 K) of the second one.

-0.02 eV/atom

> Which of these has the highest ΔH_f (0 K)?

Fe3NiIr5